(1)
First-principles (PBE-GGA) data for an optimized crystal structure of PH6, as listed in the Alexandria database.

Computed properties:
- ρ: 0.5 Mg/m³
- Space group: Pnma, No. 62
- DFT total energy: -3.579 eV/atom
- Crystal system: orthorhombic
- DOS(E_F): 0.00 states/eV per cell

Unit cell a=4.587 b=11.190 c=8.744 alpha=90.00 beta=90.00 gamma=90.00
Fractional coordinates of all 28 atoms:
H 0.919 0.657 0.279
H 0.971 0.031 0.006
H 0.777 0.750 0.977
H 0.471 0.969 0.494
H 0.216 0.250 0.417
H 0.529 0.031 0.506
H 0.784 0.750 0.583
H 0.029 0.531 0.994
H 0.581 0.657 0.779
H 0.723 0.750 0.477
H 0.284 0.250 0.917
H 0.529 0.469 0.506
H 0.419 0.343 0.221
H 0.971 0.469 0.006
H 0.716 0.750 0.083
H 0.581 0.843 0.779
H 0.081 0.343 0.721
H 0.223 0.250 0.023
H 0.471 0.531 0.494
H 0.277 0.250 0.523
H 0.919 0.843 0.279
H 0.081 0.157 0.721
H 0.419 0.157 0.221
H 0.029 0.969 0.994
P 0.795 0.750 0.780
P 0.205 0.250 0.220
P 0.705 0.750 0.280
P 0.295 0.250 0.720

---

(2)
First-principles (PBE-GGA) data for an optimized crystal structure of Rb2CeSmSe4, as listed in the Alexandria database.

Computed properties:
- ρ: 4.9 Mg/m³
- Formation energy from raw total energies: -1.703 eV per atom
- Space group: P2/m, No. 10
- DFT total energy: -5.019 eV/atom
- Crystal system: monoclinic
- DOS(E_F): 5.61 states/eV per cell

Unit cell a=4.374 b=7.573 c=8.387 alpha=107.51 beta=90.00 gamma=90.00
Last column: magnetic moment on the atom in μB.
Fractional coordinates of all 8 atoms:
Se 0.000 0.736 0.199  -0.01
Se 0.500 0.230 0.199  -0.01
Se 0.500 0.770 0.801  -0.01
Se 0.000 0.264 0.801  -0.01
Rb 0.000 0.500 0.500  0.00
Rb 0.500 0.000 0.500  0.00
Ce 0.500 0.500 0.000  0.96
Sm 0.000 0.000 0.000  0.01

---

(3)
First-principles (PBE-GGA) data for an optimized crystal structure of SrCoCl2, as listed in the Alexandria database.

Computed properties:
- ρ: 3.9 Mg/m³
- Formation energy from raw total energies: -0.641 eV per atom
- Space group: Fm-3m, No. 225
- E above lowest polymorph: 333 meV per atom
- DFT total energy: -3.761 eV/atom
- Crystal system: cubic
- DOS(E_F): 11.98 states/eV per cell

Unit cell a=5.077 b=5.077 c=5.077 alpha=60.00 beta=60.00 gamma=60.00
Last column: magnetic moment on the atom in μB.
Fractional coordinates of all 4 atoms:
Cl 0.750 0.750 0.750  0.10
Cl 0.250 0.250 0.250  0.10
Co 0.000 0.000 0.000  2.30
Sr 0.500 0.500 0.500  0.02

---

(4)
First-principles (PBE-GGA) data for an optimized crystal structure of BaMgZn2F8, as listed in the Alexandria database.

Computed properties:
- ρ: 4.1 Mg/m³
- Formation energy from raw total energies: -2.954 eV per atom
- Space group: P-1, No. 2
- DFT total energy: -4.707 eV/atom
- Crystal system: triclinic
- DOS(E_F): 0.00 states/eV per cell

Unit cell a=4.619 b=4.995 c=7.829 alpha=94.84 beta=88.46 gamma=85.85
Fractional coordinates of all 12 atoms:
Zn 0.473 0.458 0.811
Zn 0.527 0.542 0.189
F 0.564 0.722 0.417
F 0.188 0.768 0.792
F 0.321 0.274 0.014
F 0.155 0.780 0.182
F 0.845 0.220 0.818
F 0.812 0.232 0.208
F 0.436 0.278 0.583
F 0.679 0.726 0.986
Ba 0.000 0.000 0.500
Mg 0.000 0.000 0.000

---

(5)
First-principles (PBE-GGA) data for an optimized crystal structure of KCe2P2N6, as listed in the Alexandria database.

Computed properties:
- ρ: 3.8 Mg/m³
- Formation energy from raw total energies: -0.784 eV per atom
- Space group: C2/m, No. 12
- DFT total energy: -7.487 eV/atom
- Crystal system: monoclinic
- DOS(E_F): 8.59 states/eV per cell

Unit cell a=6.493 b=6.483 c=6.505 alpha=116.14 beta=90.01 gamma=59.93
Last column: magnetic moment on the atom in μB.
Fractional coordinates of all 11 atoms:
P 0.843 0.315 0.249  0.01
P 0.157 0.685 0.751  0.01
K 0.500 0.000 0.500  0.00
Ce 0.179 0.642 0.192  0.52
Ce 0.821 0.358 0.808  0.52
N 0.406 0.592 0.830  -0.01
N 0.998 0.408 0.171  -0.01
N 0.068 0.863 0.627  -0.01
N 0.594 0.408 0.170  -0.01
N 0.002 0.592 0.829  -0.01
N 0.932 0.137 0.373  -0.01

---

(6)
First-principles (PBE-GGA) data for an optimized crystal structure of CaTc, as listed in the Alexandria database.

Computed properties:
- ρ: 4.6 Mg/m³
- Space group: Pmma, No. 51
- E above lowest polymorph: 223 meV per atom
- DFT total energy: -5.748 eV/atom
- Crystal system: orthorhombic
- DOS(E_F): 3.27 states/eV per cell

Unit cell a=3.177 b=4.129 c=7.606 alpha=90.00 beta=90.00 gamma=90.00
Fractional coordinates of all 4 atoms:
Ca 0.000 0.500 0.370
Ca 0.000 0.000 0.963
Tc 0.500 0.500 0.741
Tc 0.500 0.000 0.592

---

The highest ρ belongs to which entry?
Rb2CeSmSe4